(1)
A geometry-optimized Li2ZnCu7Ge2 structure, computed with GGA-PBE.

Energy ... -3.609 eV/atom
Energy of formation ... -0.03 eV/atom
M_tot ... 0.000 μB/cell
Crystal system ... monoclinic
Calculated volume ... 160.4 Å³/f.u.

Unit cell a=5.2445 b=5.2234 c=11.7082 alpha=90.00 beta=90.26 gamma=90.00
Space group C2/m (No. 12)
Unique sites:
Li1 0.0006 0.0000 0.3192
Zn1 0.0000 0.5000 0.0000
Cu1 0.0000 0.0000 0.0000
Cu2 0.2335 0.5000 0.4996
Cu3 0.2504 0.2501 0.1573
Ge1 0.0003 0.5000 0.3080

***

(2)
A geometry-optimized Li2Zn2Cu5Ge structure, computed with GGA-PBE.

Energy ... -3.182 eV/atom
Energy of formation ... -0.03 eV/atom
M_tot ... 0.000 μB/cell
Crystal system ... tetragonal
Calculated volume ... 138.9 Å³/f.u.

Unit cell a=8.4378 b=8.4378 c=3.9019 alpha=90.00 beta=90.00 gamma=90.00
Space group P4/mbm (No. 127)
Unique sites:
Li1 0.1749 0.3251 0.0000
Zn1 0.1212 0.6212 0.0000
Cu1 0.0000 0.5000 0.5000
Cu2 0.0782 0.8014 0.5000
Ge1 0.0000 0.0000 0.0000